1.
Here is crystalline Ce3IrAu2 at its relaxed geometry from Alexandria. Energies are from PBE.

Output
Its offset from the most stable computed form is 0 meV per atom.

a b c (Å): 7.1593 7.1593 7.4150
angles (deg): 98.95 98.95 118.04
Atoms (fractional coordinates):
Ce: 0.0658 0.4200 0.7629
Ce: 0.2138 0.2138 0.2137
Ce: 0.4200 0.0658 0.7629
Ce: 0.5800 0.9342 0.2371
Ce: 0.7862 0.7862 0.7863
Ce: 0.9342 0.5800 0.2371
Ir: 0.1713 0.8287 0.0000
Ir: 0.8287 0.1713 0.0000
Au: 0.0000 0.0000 0.5000
Au: 0.3526 0.6474 0.5000
Au: 0.5000 0.5000 0.0000
Au: 0.6474 0.3526 0.5000

---

2.
Here is crystalline ZrIr3Se at its relaxed geometry from Alexandria. Energies are from PBE.

Output
Its offset from the most stable computed form is 0 meV per atom. As for the raw formation energy: 712 meV/atom.

a b c (Å): 4.5967 4.5967 4.5967
angles (deg): 90.00 90.00 90.00
Atoms (fractional coordinates):
Zr: 0.0000 0.0000 0.0000
Ir: 0.0000 0.5000 0.5000
Ir: 0.5000 0.0000 0.5000
Ir: 0.5000 0.5000 0.0000
Se: 0.5000 0.5000 0.5000

---

3.
Here is crystalline KNaCd2Ag at its relaxed geometry from Alexandria. Energies are from PBE.

Output
Its offset from the most stable computed form is 35 meV per atom.

a b c (Å): 5.4401 5.4401 5.6358
angles (deg): 90.00 90.00 90.00
Atoms (fractional coordinates):
K: 0.0000 0.0000 0.0000
Na: 0.5000 0.5000 0.0000
Cd: 0.0000 0.5000 0.5000
Cd: 0.5000 0.0000 0.5000
Ag: 0.5000 0.5000 0.5000

---

4.
Here is crystalline Tb3Sc5Se12 at its relaxed geometry from Alexandria. Energies are from PBE.

Output
As for the raw formation energy: -1614 meV/atom.

a b c (Å): 14.1206 14.1206 14.1206
angles (deg): 109.47 109.47 109.47
Atoms (fractional coordinates):
Tb: 0.1250 0.2500 0.3750
Tb: 0.1250 0.3750 0.7500
Tb: 0.2500 0.3750 0.1250
Tb: 0.2500 0.8750 0.6250
Tb: 0.3750 0.1250 0.2500
Tb: 0.3750 0.7500 0.1250
Tb: 0.6250 0.2500 0.8750
Tb: 0.6250 0.8750 0.7500
Tb: 0.7500 0.1250 0.3750
Tb: 0.7500 0.6250 0.8750
Tb: 0.8750 0.6250 0.2500
Tb: 0.8750 0.7500 0.6250
Sc: 0.0000 0.0000 0.0000
Sc: 0.0000 0.0000 0.5000
Sc: 0.0000 0.5000 0.0000
Sc: 0.0000 0.5000 0.5000
Sc: 0.1250 0.7500 0.8750
Sc: 0.1250 0.8750 0.2500
Sc: 0.2500 0.1250 0.8750
Sc: 0.2500 0.6250 0.3750
Sc: 0.3750 0.2500 0.6250
Sc: 0.3750 0.6250 0.7500
Sc: 0.5000 0.0000 0.0000
Sc: 0.5000 0.0000 0.5000
Sc: 0.5000 0.5000 0.0000
Sc: 0.5000 0.5000 0.5000
Sc: 0.6250 0.3750 0.2500
Sc: 0.6250 0.7500 0.3750
Sc: 0.7500 0.3750 0.6250
Sc: 0.7500 0.8750 0.1250
Sc: 0.8750 0.1250 0.7500
Sc: 0.8750 0.2500 0.1250
Se: 0.0414 0.2172 0.1266
Se: 0.0414 0.3243 0.9148
Se: 0.0852 0.6266 0.4095
Se: 0.0852 0.9586 0.6757
Se: 0.0905 0.7172 0.6757
Se: 0.0905 0.8734 0.4148
Se: 0.1266 0.0414 0.2172
Se: 0.1266 0.5852 0.9095
Se: 0.1757 0.2172 0.5905
Se: 0.1757 0.4586 0.5852
Se: 0.2172 0.1266 0.0414
Se: 0.2172 0.5905 0.1757
Se: 0.2828 0.3243 0.9095
Se: 0.2828 0.4586 0.3734
Se: 0.3243 0.9095 0.2828
Se: 0.3243 0.9148 0.0414
Se: 0.3734 0.2828 0.4586
Se: 0.3734 0.5905 0.9148
Se: 0.4095 0.0852 0.6266
Se: 0.4095 0.8243 0.7828
Se: 0.4148 0.0905 0.8734
Se: 0.4148 0.8243 0.5414
Se: 0.4586 0.3734 0.2828
Se: 0.4586 0.5852 0.1757
Se: 0.5414 0.4148 0.8243
Se: 0.5414 0.6266 0.7172
Se: 0.5852 0.1757 0.4586
Se: 0.5852 0.9095 0.1266
Se: 0.5905 0.1757 0.2172
Se: 0.5905 0.9148 0.3734
Se: 0.6266 0.4095 0.0852
Se: 0.6266 0.7172 0.5414
Se: 0.6757 0.0852 0.9586
Se: 0.6757 0.0905 0.7172
Se: 0.7172 0.5414 0.6266
Se: 0.7172 0.6757 0.0905
Se: 0.7828 0.4095 0.8243
Se: 0.7828 0.8734 0.9586
Se: 0.8243 0.5414 0.4148
Se: 0.8243 0.7828 0.4095
Se: 0.8734 0.4148 0.0905
Se: 0.8734 0.9586 0.7828
Se: 0.9095 0.1266 0.5852
Se: 0.9095 0.2828 0.3243
Se: 0.9148 0.0414 0.3243
Se: 0.9148 0.3734 0.5905
Se: 0.9586 0.6757 0.0852
Se: 0.9586 0.7828 0.8734

---

5.
Here is crystalline ZrMn2Os at its relaxed geometry from Alexandria. Energies are from PBE.

Output
Its offset from the most stable computed form is 88 meV per atom.

a b c (Å): 4.3488 4.3488 4.3488
angles (deg): 60.00 60.00 60.00
Atoms (fractional coordinates):
Zr: 0.0000 0.0000 0.0000
Mn: 0.2500 0.2500 0.2500
Mn: 0.7500 0.7500 0.7500
Os: 0.5000 0.5000 0.5000

---

6.
Here is crystalline Cs3NpTl2O6 at its relaxed geometry from Alexandria. Energies are from PBE.

Output
As for the raw formation energy: -1748 meV/atom.

a b c (Å): 6.8794 6.8794 7.0570
angles (deg): 101.20 101.20 115.78
Atoms (fractional coordinates):
Cs: 0.0000 0.0000 0.0000
Cs: 0.3266 0.6734 0.0000
Cs: 0.6734 0.3266 0.0000
Np: 0.5000 0.5000 0.5000
Tl: 0.1900 0.8100 0.5000
Tl: 0.8100 0.1900 0.5000
O: 0.1910 0.4497 0.3182
O: 0.3523 0.3523 0.6826
O: 0.4497 0.1910 0.3182
O: 0.5503 0.8090 0.6818
O: 0.6477 0.6477 0.3174
O: 0.8090 0.5503 0.6818

---

7.
Here is crystalline PrSmDySc at its relaxed geometry from Alexandria. Energies are from PBE.

Output
Its offset from the most stable computed form is 292 meV per atom.

a b c (Å): 7.0434 7.0434 7.0434
angles (deg): 151.64 128.75 59.61
Atoms (fractional coordinates):
Pr: 0.0000 0.0000 0.0000
Sm: 0.7237 0.7237 0.0000
Dy: 0.2360 0.7360 0.5000
Sc: 0.4578 0.4578 0.0000

---

8.
Here is crystalline YCdPbAu at its relaxed geometry from Alexandria. Energies are from PBE.

Output
The energy is -15.95 eV per cell.

a b c (Å): 5.1455 5.1455 5.1455
angles (deg): 60.00 60.00 60.00
Atoms (fractional coordinates):
Y: 0.0000 0.0000 0.0000
Cd: 0.5000 0.5000 0.5000
Pb: 0.7500 0.7500 0.7500
Au: 0.2500 0.2500 0.2500